1.
Density functional theory data (PBE-GGA) for an optimized crystal structure of DyThTi2.

Unit cell a=3.758 b=3.758 c=6.857 alpha=90.00 beta=90.00 gamma=90.00
Atoms (fractional coordinates):
Dy 0.500 0.500 0.500
Ti 0.000 0.000 0.210
Ti 0.000 0.000 0.790
Th 0.500 0.500 0.000

Results
electronic total energy = -6.780 eV per atom
formation energy = 173 meV/atom
SG = No. 123

***

2.
Density functional theory data (PBE-GGA) for an optimized crystal structure of Dy2ThTi.

Unit cell a=3.388 b=3.388 c=11.794 alpha=81.74 beta=81.74 gamma=60.00
Atoms (fractional coordinates):
Dy 0.916 0.916 0.253
Dy 0.084 0.084 0.747
Ti 0.000 0.000 0.000
Th 0.500 0.500 0.500

Results
electronic total energy = -5.711 eV per atom
formation energy = 418 meV/atom
SG = No. 166

***

3.
Density functional theory data (PBE-GGA) for an optimized crystal structure of DyThTi.

Unit cell a=3.731 b=5.226 c=8.826 alpha=110.59 beta=90.00 gamma=90.00
Atoms (fractional coordinates):
Ti 0.750 0.470 0.381
Ti 0.250 0.530 0.619
Th 0.250 0.934 0.333
Th 0.750 0.066 0.667
Dy 0.250 0.282 0.054
Dy 0.750 0.718 0.946

Results
electronic total energy = -6.494 eV per atom
formation energy = 145 meV/atom
SG = No. 11

***

Number 1: Fermi-level density of states 4.93 states/eV per cell. Number 2: Fermi-level density of states 4.52 states/eV per cell. Number 3: Fermi-level density of states 9.85 states/eV per cell.